[1]
# Er2ZnSi

An optimized crystal structure of Er2ZnSi (PBE, Alexandria).

Cell and atoms, written as extended XYZ:
```
8
Lattice="-0.6988 -2.0656 -3.3664 5.4368 -1.7673 -0.0441 -4.9110 -5.2643 4.2496" Properties=species:S:1:pos:R:3 pbc="T T T"
Er -1.4685 -4.1968 -0.7042
Er 1.2956 -4.9005 1.5433
Er 3.7172 -2.2768 -0.5693
Er -3.8901 -6.8205 1.4083
Zn 0.7041 -2.2675 0.0505
Zn -0.8770 -6.8298 0.7886
Si 1.5890 -4.2121 -1.3295
Si -1.7619 -4.8852 2.1686
```

The density of states at the Fermi level is 4.0 states/eV/f.u. The raw total energy comes out at -4.518 eV per atom. As for the density: 7.974 g/cm3. For the magnetic moment, the calculation gives 0.00 μB per atom.


[2]
# Pr5NdS6

An optimized crystal structure of Pr5NdS6 (PBE, Alexandria).

Cell and atoms, written as extended XYZ:
```
12
Lattice="7.0105 0.1833 1.0717 1.7358 5.9445 3.4673 0.1220 0.0531 7.1117" Properties=species:S:1:pos:R:3 pbc="T T T"
Pr 3.8770 1.1221 5.8468
Pr 0.6190 1.9982 3.5281
Pr 4.3731 3.0639 2.2695
Pr 1.2388 3.9993 7.0509
Pr 4.9913 5.0587 5.8039
S 5.4512 0.6484 3.4503
S 2.8006 3.5439 4.6543
S 2.1788 1.5227 1.1287
S 6.5674 4.6050 3.4104
S 6.0677 2.6369 6.9964
S 3.4171 5.5324 8.2004
Nd 0.0000 0.0000 0.0000
```

The density of states at the Fermi level is 4.8 states/eV/f.u. The raw total energy comes out at -6.478 eV per atom. As for the density: 5.917 g/cm3. For the magnetic moment, the calculation gives 0.00 μB per atom.


[3]
# KTcP2Ru

An optimized crystal structure of KTcP2Ru (PBE, Alexandria).

Cell and atoms, written as extended XYZ:
```
5
Lattice="4.1279 0.0000 0.0000 0.0000 4.1279 0.0000 -2.0640 -2.0640 6.1729" Properties=species:S:1:pos:R:3 pbc="T T T"
K 0.0000 0.0000 0.0000
Tc 2.0640 0.0000 3.0865
P 2.0640 2.0640 2.0227
P 0.0000 0.0000 4.1503
Ru 0.0000 2.0640 3.0865
```

The density of states at the Fermi level is 2.8 states/eV/f.u. As for the density: 4.738 g/cm3. Its formation energy is -535 meV/atom. For the magnetic moment, the calculation gives 0.00 μB per atom.


[4]
# LiCd6Ag

An optimized crystal structure of LiCd6Ag (PBE, Alexandria).

Cell and atoms, written as extended XYZ:
```
8
Lattice="4.8426 0.0000 0.0000 0.0000 5.7507 -2.4449 0.0000 -0.7576 6.2037" Properties=species:S:1:pos:R:3 pbc="T T T"
Li 2.4213 3.5961 0.4729
Cd 0.0000 4.6224 -0.9360
Cd 0.0000 1.8695 0.2343
Cd 0.0000 1.4162 3.3312
Cd 2.4213 3.2461 3.4952
Cd 2.4213 0.2647 4.7627
Cd 2.4213 0.6899 1.6228
Ag 0.0000 4.2676 2.0523
```

The density of states at the Fermi level is 0.9 states/eV/f.u. As for the density: 8.002 g/cm3. Its formation energy is -104 meV/atom. For the magnetic moment, the calculation gives 0.00 μB per atom.


[5]
# EuPuPt2

An optimized crystal structure of EuPuPt2 (PBE, Alexandria).

Cell and atoms, written as extended XYZ:
```
4
Lattice="-3.2066 2.1020 -3.2359 1.0428 0.0236 -4.9075 -2.6455 -2.8827 -3.1406" Properties=species:S:1:pos:R:3 pbc="T T T"
Eu 0.0000 0.0000 0.0000
Pt -1.2023 -0.1893 -2.8210
Pt -3.6069 -0.5678 -8.4630
Pu -2.4046 -0.3786 -5.6420
```

The density of states at the Fermi level is 25.3 states/eV/f.u. As for the density: 14.618 g/cm3. Its formation energy is -772 meV/atom. For the magnetic moment, the calculation gives 0.39 μB per atom.


[6]
# Cd3GaHg2

An optimized crystal structure of Cd3GaHg2 (PBE, Alexandria).

Cell and atoms, written as extended XYZ:
```
12
Lattice="4.8974 0.0000 0.0000 0.0000 4.3693 0.0000 0.0000 0.0000 12.9453" Properties=species:S:1:pos:R:3 pbc="T T T"
Cd 2.4487 2.1813 4.3778
Cd 0.0000 2.1755 6.4726
Cd 2.4487 2.1813 8.5674
Cd 0.0000 2.1881 10.8505
Cd 2.4487 2.1938 0.0000
Cd 0.0000 2.1881 2.0948
Ga 2.4487 4.3612 6.4726
Ga 0.0000 0.0082 0.0000
Hg 0.0000 4.3627 4.3237
Hg 0.0000 4.3627 8.6215
Hg 2.4487 0.0066 10.7964
Hg 2.4487 0.0066 2.1489
```

The density of states at the Fermi level is 1.4 states/eV/f.u. As for the density: 9.689 g/cm3. Its formation energy is 43 meV/atom. For the magnetic moment, the calculation gives 0.00 μB per atom.


[7]
# Sr3Zr2PaAs6

An optimized crystal structure of Sr3Zr2PaAs6 (PBE, Alexandria).

Cell and atoms, written as extended XYZ:
```
12
Lattice="-6.9650 1.3178 0.6525 2.2633 -5.0303 -4.4997 1.1398 -3.6016 6.4792" Properties=species:S:1:pos:R:3 pbc="T T T"
Sr 1.3019 -5.7777 -0.4052
Sr -4.8638 -1.5364 3.0371
Sr -1.7809 -3.6571 1.3160
Zr -0.8127 -2.9143 -2.7823
Zr -3.8890 -0.7982 -1.0649
Pa 0.0000 0.0000 0.0000
As -4.2349 -4.5735 3.0342
As -3.2050 -3.4956 -1.4337
As 0.6730 -2.7406 -0.4022
As -1.1167 -6.7185 1.2933
As -0.3569 -3.8186 4.0657
As -2.4452 -0.5956 1.3387
```

The density of states at the Fermi level is 4.4 states/eV/f.u. As for the density: 5.988 g/cm3. Its formation energy is -1164 meV/atom. For the magnetic moment, the calculation gives 0.00 μB per atom.


[8]
# DyHo2Bi

An optimized crystal structure of DyHo2Bi (PBE, Alexandria).

Cell and atoms, written as extended XYZ:
```
8
Lattice="-2.6996 3.5480 1.2157 -1.8528 0.0244 -4.1856 -6.6232 -9.0373 2.8791" Properties=species:S:1:pos:R:3 pbc="T T T"
Dy -5.7977 -0.9919 -1.1938
Dy -5.3779 -4.4730 1.1030
Ho -2.7764 0.9022 -0.0172
Ho -8.3992 -6.3671 -0.0735
Ho -2.3280 -0.8372 -2.7287
Ho -8.8476 -4.6277 2.6380
Bi -3.1496 -2.4377 0.1285
Bi -8.0260 -3.0272 -0.2193
```

The density of states at the Fermi level is 4.5 states/eV/f.u. As for the density: 9.715 g/cm3. Its formation energy is -413 meV/atom. For the magnetic moment, the calculation gives 0.00 μB per atom.


[9]
# Sc4SnTe3

An optimized crystal structure of Sc4SnTe3 (PBE, Alexandria).

Cell and atoms, written as extended XYZ:
```
16
Lattice="-5.2865 -3.7943 3.1049 4.8853 -4.5270 -2.8379 4.2139 0.0281 7.2092" Properties=species:S:1:pos:R:3 pbc="T T T"
Sc -1.3763 -4.8286 6.9656
Sc 2.2258 -2.9775 7.2082
Sc 0.1289 -2.9391 3.4662
Sc 1.6788 -1.1017 0.1978
Sc 2.1340 -7.1915 7.2783
Sc 3.6839 -5.3541 4.0099
Sc 1.5870 -5.3157 0.2679
Sc 5.1891 -3.4646 0.5105
Te -2.3797 -2.8351 5.0404
Te 1.3072 -0.9310 5.2736
Te 1.0904 -5.0918 5.3792
Te -0.9900 -5.1057 1.8202
Te 2.7224 -3.2014 2.0969
Te 4.8028 -3.1875 5.6559
Sn -0.2598 -2.8210 8.6673
Sn -0.8128 -0.9452 1.6468
```

The density of states at the Fermi level is 5.6 states/eV/f.u. The raw total energy comes out at -5.853 eV per atom. As for the density: 5.509 g/cm3. For the magnetic moment, the calculation gives 0.00 μB per atom.


[10]
# Cs2ReHI6

An optimized crystal structure of Cs2ReHI6 (PBE, Alexandria).

Cell and atoms, written as extended XYZ:
```
10
Lattice="-8.1924 0.8766 -0.8795 0.6159 -2.2274 -7.9572 -4.5533 -6.3040 -2.9020" Properties=species:S:1:pos:R:3 pbc="T T T"
Cs -8.2670 -3.0514 -4.1000
Cs -3.8628 -4.6034 -7.6388
Re 0.0000 0.0000 0.0000
I -4.1945 -3.6645 -3.6131
I -7.9352 -3.9903 -8.1257
I -1.7829 -0.3179 -2.0795
I -5.7936 -1.0329 -6.7573
I -6.1196 0.1462 -2.5451
I -1.4569 -1.4970 -6.2917
H -3.7882 -0.6754 -4.4184
```

The density of states at the Fermi level is 0.0 states/eV/f.u. The raw total energy comes out at -3.096 eV per atom. As for the density: 4.996 g/cm3. For the magnetic moment, the calculation gives 0.40 μB per atom.


[11]
# YTcN3

An optimized crystal structure of YTcN3 (PBE, Alexandria).

Cell and atoms, written as extended XYZ:
```
5
Lattice="3.0887 0.0000 0.0000 0.0000 3.0445 -5.1148 0.0000 3.0445 5.1148" Properties=species:S:1:pos:R:3 pbc="T T T"
Y 1.5443 3.0445 4.3151
Tc 0.0000 3.0445 0.9644
N 1.5443 1.8287 0.4392
N 1.5443 4.2602 0.4392
N 0.0000 3.0445 2.7620
```

The density of states at the Fermi level is 0.0 states/eV/f.u. The raw total energy comes out at -8.456 eV per atom. As for the density: 3.952 g/cm3. For the magnetic moment, the calculation gives 0.20 μB per atom.


[12]
# TiNb4Tc

An optimized crystal structure of TiNb4Tc (PBE, Alexandria).

Cell and atoms, written as extended XYZ:
```
12
Lattice="-4.3353 -1.6192 1.2098 0.4103 -3.8565 -3.6910 5.9500 -4.7012 5.5734" Properties=species:S:1:pos:R:3 pbc="T T T"
Ti 0.9131 -7.7436 2.3644
Ti 1.1122 -2.4365 0.7246
Nb 0.7480 -5.8617 4.2915
Nb 1.2743 -4.2900 -1.1752
Nb 3.6669 -8.3547 1.9584
Nb -1.4988 -3.1669 -0.1532
Nb -0.3473 -5.2454 1.1915
Nb 2.2059 -3.3681 3.3969
Nb -0.5486 -3.3285 3.0357
Nb 2.4087 -5.2985 1.5398
Tc -1.2008 -5.2016 -1.8087
Tc 3.3617 -6.2519 3.6789
```

The density of states at the Fermi level is 8.1 states/eV/f.u. As for the density: 7.373 g/cm3. Its formation energy is 365 meV/atom. For the magnetic moment, the calculation gives 0.00 μB per atom.


[13]
# Li2MgBe

An optimized crystal structure of Li2MgBe (PBE, Alexandria).

Cell and atoms, written as extended XYZ:
```
4
Lattice="-5.4194 6.4638 4.5122 -7.0841 4.2013 4.8657 -4.9724 4.7029 6.6834" Properties=species:S:1:pos:R:3 pbc="T T T"
Be -13.1069 11.5259 12.0460
Li -0.1450 0.1275 0.1333
Li -8.5929 7.5564 7.8974
Mg -4.3690 3.8420 4.0153
```

The density of states at the Fermi level is 1.9 states/eV/f.u. As for the density: 1.198 g/cm3. Its formation energy is 268 meV/atom. For the magnetic moment, the calculation gives 0.00 μB per atom.


[14]
# CaLa5Pm8

An optimized crystal structure of CaLa5Pm8 (PBE, Alexandria).

Cell and atoms, written as extended XYZ:
```
14
Lattice="-0.0058 -8.5808 1.6053 7.9886 2.7454 -2.2025 -2.7320 3.9236 7.3040" Properties=species:S:1:pos:R:3 pbc="T T T"
Ca 1.9439 2.1702 4.7781
La 2.1837 1.1495 0.3594
La 6.6342 -4.2225 0.7440
La 3.4772 -2.3637 5.0130
La -1.3689 -2.3286 4.4547
La -1.7935 1.6132 7.2972
Pm 5.7059 0.8785 -0.7523
Pm -1.0870 -5.0327 6.0927
Pm 1.1305 -4.2448 2.9743
Pm 0.6511 -1.0569 6.9869
Pm 4.0395 -1.8079 1.5430
Pm 5.0054 0.8545 4.9498
Pm 0.8773 -0.5239 3.1234
Pm 4.6806 3.2860 1.9093
```

The density of states at the Fermi level is 20.2 states/eV/f.u. As for the density: 6.154 g/cm3. Its formation energy is 208 meV/atom. For the magnetic moment, the calculation gives 0.00 μB per atom.


[15]
# PuAg2Pd2

An optimized crystal structure of PuAg2Pd2 (PBE, Alexandria).

Cell and atoms, written as extended XYZ:
```
10
Lattice="-4.4959 -3.3955 1.0846 5.0838 -0.8724 2.5124 -2.3336 6.6367 3.9288" Properties=species:S:1:pos:R:3 pbc="T T T"
Pu -2.5027 1.4623 5.4665
Pu 0.7571 0.9065 2.0594
Ag -2.4042 2.7321 2.5651
Ag 1.4426 -2.0917 2.7549
Ag 0.6586 -0.3632 4.9608
Ag -3.1883 4.4606 4.7710
Pd -0.5485 4.1883 4.0031
Pd -1.7863 0.2367 1.6803
Pd 0.0407 2.1322 5.8456
Pd -1.1971 -1.8195 3.5228
```

The density of states at the Fermi level is 17.1 states/eV/f.u. As for the density: 10.512 g/cm3. Its formation energy is -16 meV/atom. For the magnetic moment, the calculation gives 1.10 μB per atom.


[16]
# AgSbOs2

An optimized crystal structure of AgSbOs2 (PBE, Alexandria).

Cell and atoms, written as extended XYZ:
```
4
Lattice="5.5356 0.0051 0.0038 2.6985 4.8333 -0.0038 -3.5370 -3.4064 2.5552" Properties=species:S:1:pos:R:3 pbc="T T T"
Sb 3.0578 -0.4910 1.2795
Os 8.0086 4.7060 0.0000
Os 4.3425 2.5517 0.0000
Ag 1.6393 1.9231 1.2757
```

The density of states at the Fermi level is 2.6 states/eV/f.u. The raw total energy comes out at -6.593 eV per atom. As for the density: 14.835 g/cm3. For the magnetic moment, the calculation gives 0.00 μB per atom.


[17]
# Sc2BeTe

An optimized crystal structure of Sc2BeTe (PBE, Alexandria).

Cell and atoms, written as extended XYZ:
```
4
Lattice="-4.1401 3.8671 0.2639 -4.1865 -0.1116 -3.8243 2.6578 -3.6055 3.4787" Properties=species:S:1:pos:R:3 pbc="T T T"
Sc 0.0000 0.0000 0.0000
Sc -2.8460 -0.9196 -1.0629
Be -2.8228 1.0697 0.9812
Te -4.1633 1.8778 -1.7802
```

The density of states at the Fermi level is 3.7 states/eV/f.u. The raw total energy comes out at -5.171 eV per atom. As for the density: 4.716 g/cm3. For the magnetic moment, the calculation gives 0.00 μB per atom.


[18]
# TlSn6Pb2

An optimized crystal structure of TlSn6Pb2 (PBE, Alexandria).

Cell and atoms, written as extended XYZ:
```
9
Lattice="-5.3799 2.8677 0.8185 -0.4022 -0.5951 -6.5317 -2.1619 -6.0942 1.1686" Properties=species:S:1:pos:R:3 pbc="T T T"
Tl 0.0000 0.0000 0.0000
Sn -2.9488 -4.8832 -2.1718
Sn -5.5773 -0.7572 0.1741
Sn -4.9953 1.0616 -2.3727
Sn -4.5553 -3.7337 0.2803
Sn -2.3668 -3.0644 -4.7186
Sn -3.3887 -0.0879 -4.8248
Pb -5.3473 -2.4888 -2.9994
Pb -2.5967 -1.3328 -1.5452
```

The density of states at the Fermi level is 5.7 states/eV/f.u. As for the density: 8.479 g/cm3. Its formation energy is 48 meV/atom. For the magnetic moment, the calculation gives 0.00 μB per atom.


[19]
# Pu4Ge2Pt

An optimized crystal structure of Pu4Ge2Pt (PBE, Alexandria).

Cell and atoms, written as extended XYZ:
```
14
Lattice="-1.8801 7.3294 0.4578 -0.0004 -3.0813 6.9260 5.0307 3.6690 4.3237" Properties=species:S:1:pos:R:3 pbc="T T T"
Ge 0.3806 -0.1365 4.1117
Ge 2.5502 6.9727 4.3680
Ge 1.5118 6.3660 8.2464
Ge 1.8578 2.6319 6.6890
Pt 0.3175 3.8116 3.0413
Pt 0.0000 0.0000 0.0000
Pu 0.4434 6.8064 2.1492
Pu 0.4910 5.2228 5.5931
Pu 2.4455 1.9768 3.8401
Pu 3.6460 4.9941 6.5282
Pu 0.6307 -0.0275 7.1637
Pu 2.7332 8.6620 6.8181
Pu -0.9827 2.2695 5.4313
Pu 3.1938 1.7641 9.3064
```

The density of states at the Fermi level is 27.8 states/eV/f.u. As for the density: 13.038 g/cm3. Its formation energy is -475 meV/atom. For the magnetic moment, the calculation gives 3.11 μB per atom.


[20]
# Mg2Tl9In

An optimized crystal structure of Mg2Tl9In (PBE, Alexandria).

Cell and atoms, written as extended XYZ:
```
12
Lattice="4.7403 0.0000 0.0000 0.0000 4.7403 0.0000 0.0000 0.0000 15.2725" Properties=species:S:1:pos:R:3 pbc="T T T"
Mg 0.0000 0.0000 5.1567
Mg 0.0000 0.0000 10.1158
Tl 2.3701 2.3701 0.0000
Tl 2.3701 2.3701 5.1342
Tl 2.3701 2.3701 10.1384
Tl 2.3701 0.0000 2.6471
Tl 2.3701 0.0000 7.6363
Tl 2.3701 0.0000 12.6255
Tl 0.0000 2.3701 2.6471
Tl 0.0000 2.3701 7.6363
Tl 0.0000 2.3701 12.6255
In 0.0000 0.0000 0.0000
```

The density of states at the Fermi level is 7.8 states/eV/f.u. As for the density: 9.691 g/cm3. Its formation energy is 31 meV/atom. For the magnetic moment, the calculation gives 0.00 μB per atom.